# 1
{"formula": "Cd2Hg", "functional": "PBEsol", "state": "optimized geometry", "lattice_angstrom": [[-1.9367, -2.3607, 0.7034], [1.7486, -1.0341, -5.6356], [5.0933, -2.7225, 4.8861]], "species": ["Hg", "Cd", "Cd", "Cd", "Hg", "Cd"], "frac_coords": [[0.8120, 0.6240, 0.8497], [0.1356, 0.2713, 0.5222], [0.8644, 0.7287, 0.4778], [0.5388, 0.0776, 0.8095], [0.1880, 0.3760, 0.1503], [0.4612, 0.9224, 0.1905]], "mass_density_g_cm3": 11.1, "space_group": "C2/m (12)", "crystal_system": "monoclinic", "vol_a3_per_cell": 127.8, "e_form_ev_per_atom": -0.001}

# 2
{"formula": "CdHg5", "functional": "PBEsol", "state": "optimized geometry", "lattice_angstrom": [[5.4907, 0.0000, 0.0000], [0.0000, 5.7692, 0.0000], [0.0000, -2.8846, 4.9963]], "species": ["Cd", "Hg", "Hg", "Hg", "Hg", "Hg"], "frac_coords": [[0.0000, 0.0000, 0.0000], [0.5000, 0.5000, 0.5000], [0.5000, 0.0000, 0.5000], [0.0000, 0.6667, 0.3333], [0.5000, 0.5000, 0.0000], [0.0000, 0.3333, 0.6667]], "mass_density_g_cm3": 11.7, "space_group": "P6/mmm (191)", "crystal_system": "hexagonal", "vol_a3_per_cell": 158.3, "e_form_ev_per_atom": 0.143}

# 3
{"formula": "CdHg3", "functional": "PBEsol", "state": "optimized geometry", "lattice_angstrom": [[-1.9250, 3.2355, 5.1223], [-5.8862, -1.7526, -1.1050], [1.2525, -7.4838, 5.1978]], "species": ["Hg", "Hg", "Hg", "Hg", "Cd", "Cd", "Hg", "Hg", "Hg", "Hg", "Hg", "Hg", "Hg", "Hg", "Cd", "Cd"], "frac_coords": [[0.3716, 0.2319, 0.4923], [0.1284, 0.7319, 0.0077], [0.1202, 0.0369, 0.7500], [0.8716, 0.2681, 0.5077], [0.6203, 0.0842, 0.7500], [0.1203, 0.4158, 0.2500], [0.3798, 0.5369, 0.7500], [0.8716, 0.2681, 0.9923], [0.3716, 0.2319, 0.0077], [0.6202, 0.4631, 0.2500], [0.8798, 0.9631, 0.2500], [0.6284, 0.7681, 0.5077], [0.6284, 0.7681, 0.9923], [0.1284, 0.7319, 0.4923], [0.3797, 0.9158, 0.2500], [0.8797, 0.5842, 0.7500]], "mass_density_g_cm3": 13.0, "space_group": "Pnma (62)", "polymorph_energy_mev_per_atom": 6, "crystal_system": "orthorhombic", "vol_a3_per_cell": 364.9, "e_form_ev_per_atom": 0.004}

# 4
{"formula": "Cd3Hg4", "functional": "PBEsol", "state": "optimized geometry", "lattice_angstrom": [[5.7062, 0.0000, 0.0000], [-2.8531, 4.9417, 0.0000], [0.0000, 0.0000, 5.6480]], "species": ["Cd", "Hg", "Hg", "Cd", "Hg", "Hg", "Cd"], "frac_coords": [[0.5000, 0.5000, 0.0000], [0.6667, 0.3333, 0.5000], [0.3333, 0.6667, 0.5000], [0.5000, 0.0000, 0.0000], [0.0000, 0.0000, 0.2569], [0.0000, 0.0000, 0.7431], [0.0000, 0.5000, 0.0000]], "mass_density_g_cm3": 11.9, "space_group": "P6/mmm (191)", "polymorph_energy_mev_per_atom": 56, "crystal_system": "hexagonal", "vol_a3_per_cell": 159.3, "e_form_ev_per_atom": 0.044}

# 5
{"formula": "CdHg3", "functional": "PBEsol", "state": "optimized geometry", "lattice_angstrom": [[-1.8648, -0.4389, 2.5218], [3.8636, -1.7641, 2.5499], [1.2144, 5.2880, 1.8184]], "species": ["Cd", "Hg", "Hg", "Hg"], "frac_coords": [[0.0000, 0.0000, 0.0040], [0.5000, 0.5000, 0.8317], [0.5000, 0.0000, 0.5061], [0.0000, 0.5000, 0.3249]], "mass_density_g_cm3": 13.2, "space_group": "Pmm2 (25)", "polymorph_energy_mev_per_atom": 22, "crystal_system": "orthorhombic", "vol_a3_per_cell": 89.8, "e_form_ev_per_atom": 0.020}

# 6
{"formula": "CdHg3", "functional": "PBEsol", "state": "optimized geometry", "lattice_angstrom": [[5.1764, 0.0000, 0.0000], [0.0000, 6.1975, 0.1976], [0.0000, -2.9040, 5.4786]], "species": ["Hg", "Hg", "Cd", "Hg", "Hg", "Hg", "Hg", "Cd"], "frac_coords": [[0.2500, 0.9160, 0.5931], [0.7500, 0.5863, 0.4137], [0.2500, 0.9106, 0.0894], [0.2500, 0.4137, 0.5863], [0.7500, 0.5931, 0.9160], [0.2500, 0.4069, 0.0840], [0.7500, 0.0840, 0.4069], [0.7500, 0.0894, 0.9106]], "mass_density_g_cm3": 13.3, "space_group": "Cmcm (63)", "polymorph_energy_mev_per_atom": 18, "crystal_system": "orthorhombic", "vol_a3_per_cell": 178.7, "e_form_ev_per_atom": 0.016}

# 7
{"formula": "Cd2Hg", "functional": "PBEsol", "state": "optimized geometry", "lattice_angstrom": [[-2.7380, -0.6480, -1.3848], [-0.4198, -2.4126, 1.9589], [-1.4620, 5.4514, 3.8905]], "species": ["Hg", "Cd", "Cd"], "frac_coords": [[0.0000, 0.0000, 0.0000], [0.3322, 0.3322, 0.6645], [0.6678, 0.6678, 0.3355]], "mass_density_g_cm3": 11.1, "space_group": "I4/mmm (139)", "crystal_system": "tetragonal", "vol_a3_per_cell": 63.8, "e_form_ev_per_atom": 0.003}

# 8
{"formula": "CdHg3", "functional": "PBEsol", "state": "optimized geometry", "lattice_angstrom": [[3.5400, 0.0000, 0.0000], [-1.1800, 5.4922, 0.0000], [-1.1800, -2.7461, 4.7564]], "species": ["Hg", "Cd", "Hg", "Hg"], "frac_coords": [[0.0000, 0.5000, 0.5000], [0.0000, 0.0000, 0.0000], [0.5000, 0.0000, 0.5000], [0.5000, 0.5000, 0.0000]], "mass_density_g_cm3": 12.8, "space_group": "R-3m (166)", "polymorph_energy_mev_per_atom": 26, "crystal_system": "trigonal", "vol_a3_per_cell": 92.5, "e_form_ev_per_atom": 0.024}

# 9
{"formula": "Cd2Hg", "functional": "PBEsol", "state": "optimized geometry", "lattice_angstrom": [[-1.8709, 2.8251, 0.2879], [-4.1177, -2.0457, -6.6852], [-2.6008, -2.4643, 7.2798]], "species": ["Cd", "Cd", "Hg", "Cd", "Cd", "Cd", "Cd", "Hg", "Hg"], "frac_coords": [[0.0000, 0.7039, 0.7039], [0.5000, 0.3685, 0.3685], [0.0000, 0.3333, 0.6667], [0.0000, 0.2961, 0.0000], [0.0000, 0.0000, 0.2961], [0.5000, 0.6315, 0.0000], [0.5000, 0.0000, 0.6315], [0.5000, 0.0000, 0.0000], [0.0000, 0.6667, 0.3333]], "mass_density_g_cm3": 10.9, "space_group": "P-62m (189)", "crystal_system": "hexagonal", "vol_a3_per_cell": 193.9, "e_form_ev_per_atom": 0.009}

# 10
{"formula": "Cd3Hg", "functional": "PBEsol", "state": "optimized geometry", "lattice_angstrom": [[-3.5221, -2.6170, 2.2955], [4.7600, -0.6838, 1.1823], [-0.6062, 6.0011, 5.9113]], "species": ["Cd", "Hg", "Cd", "Cd", "Cd", "Cd", "Hg", "Cd"], "frac_coords": [[0.0000, 0.0000, 0.2500], [0.3333, 0.6667, 0.2500], [0.3333, 0.6667, 0.9189], [0.6667, 0.3333, 0.4189], [0.6667, 0.3333, 0.0811], [0.0000, 0.0000, 0.7500], [0.6667, 0.3333, 0.7500], [0.3333, 0.6667, 0.5811]], "mass_density_g_cm3": 10.0, "space_group": "P6_3/mmc (194)", "crystal_system": "hexagonal", "vol_a3_per_cell": 179.4, "e_form_ev_per_atom": 0.066}

# 11
{"formula": "Cd2Hg", "functional": "PBEsol", "state": "optimized geometry", "lattice_angstrom": [[3.1589, 0.1628, -0.1719], [-1.2812, 5.6868, -0.0945], [-0.5229, -2.5519, 7.1984]], "species": ["Cd", "Cd", "Hg", "Hg", "Cd", "Cd"], "frac_coords": [[0.7360, 0.3178, 0.3149], [0.0660, 0.9873, 0.9814], [0.9895, 0.1216, 0.6262], [0.6515, 0.4656, 0.9659], [0.3984, 0.6493, 0.6491], [0.3254, 0.7917, 0.2960]], "mass_density_g_cm3": 11.0, "space_group": "P1 (1)", "crystal_system": "triclinic", "vol_a3_per_cell": 129.0, "e_form_ev_per_atom": 0.003}

# 12
{"formula": "CdHg5", "functional": "PBEsol", "state": "optimized geometry", "lattice_angstrom": [[-3.3303, 3.2621, 0.0996], [-0.2485, -0.0754, -5.8358], [-3.4101, -3.5765, 3.1151]], "species": ["Hg", "Hg", "Hg", "Hg", "Hg", "Cd"], "frac_coords": [[0.0000, 0.3246, 0.3246], [0.0000, 0.6754, 0.0000], [0.0000, 0.0000, 0.6754], [0.5000, 0.6667, 0.3333], [0.5000, 0.3333, 0.6667], [0.5000, 0.0000, 0.0000]], "mass_density_g_cm3": 13.4, "space_group": "P-62m (189)", "crystal_system": "hexagonal", "vol_a3_per_cell": 137.8, "e_form_ev_per_atom": 0.016}

Repeat the twelfth record exactly.
{"formula": "CdHg5", "functional": "PBEsol", "state": "optimized geometry", "lattice_angstrom": [[-3.3303, 3.2621, 0.0996], [-0.2485, -0.0754, -5.8358], [-3.4101, -3.5765, 3.1151]], "species": ["Hg", "Hg", "Hg", "Hg", "Hg", "Cd"], "frac_coords": [[0.0000, 0.3246, 0.3246], [0.0000, 0.6754, 0.0000], [0.0000, 0.0000, 0.6754], [0.5000, 0.6667, 0.3333], [0.5000, 0.3333, 0.6667], [0.5000, 0.0000, 0.0000]], "mass_density_g_cm3": 13.4, "space_group": "P-62m (189)", "crystal_system": "hexagonal", "vol_a3_per_cell": 137.8, "e_form_ev_per_atom": 0.016}